Record 1
Below is crystalline AcZn2CuAu5 at its relaxed geometry, with properties calculated at the PBE level.

## Properties
- DFT formation energy: -0.212 eV per atom
- Total moment: 0.00 μB/cell

Cell: 5.004 5.004 7.509 Å, 90.00 90.00 90.00°
Positions (direct):
Ac1 0.000 0.000 0.000
Zn1 0.500 0.500 0.336
Zn2 0.500 0.500 0.664
Cu1 0.000 0.000 0.500
Au1 0.000 0.500 0.305
Au2 0.000 0.500 0.695
Au3 0.500 0.000 0.305
Au4 0.500 0.000 0.695
Au5 0.500 0.500 0.000

---

Record 2
Below is crystalline CePm2ThSb5 at its relaxed geometry, with properties calculated at the PBE level.

## Properties
- Raw formation energy: -0.108 eV per atom
- Total moment: 0.60 μB/cell

Cell: 5.593 5.593 11.774 Å, 90.00 90.00 90.00°
Positions (direct):
Ce1 0.000 0.000 0.000
Pm1 0.500 0.500 0.280
Pm2 0.500 0.500 0.720
Th1 0.000 0.000 0.500
Sb1 0.000 0.000 0.244
Sb2 0.000 0.000 0.756
Sb3 0.000 0.500 0.500
Sb4 0.500 0.000 0.500
Sb5 0.500 0.500 0.000

---

Record 3
Below is crystalline Cu4IrSe at its relaxed geometry, with properties calculated at the PBE level.

## Properties
- Raw formation energy: 0.326 eV per atom
- Total moment: 0.00 μB/cell

Cell: 4.864 4.864 4.864 Å, 60.00 60.00 60.00°
Positions (direct):
Cu1 0.124 0.124 0.124
Cu2 0.124 0.124 0.627
Cu3 0.124 0.627 0.124
Cu4 0.627 0.124 0.124
Ir1 0.750 0.750 0.750
Se1 0.500 0.500 0.500

---

Record 4
Below is crystalline Cr2ReNi at its relaxed geometry, with properties calculated at the PBE level.

## Properties
- DFT formation energy: 0.137 eV per atom
- Total moment: 0.00 μB/cell

Cell: 2.550 2.550 7.999 Å, 90.00 90.00 105.74°
Positions (direct):
Cr1 0.000 0.000 0.237
Cr2 0.000 0.000 0.763
Re1 0.500 0.500 0.500
Ni1 0.500 0.500 0.000

---

Record 5
Below is crystalline Th3MnPt12 at its relaxed geometry, with properties calculated at the PBE level.

## Properties
- DFT formation energy: -0.910 eV per atom
- Total moment: 4.75 μB/cell

Cell: 4.189 4.189 16.508 Å, 90.00 90.00 90.00°
Positions (direct):
Th1 0.000 0.000 0.000
Th2 0.000 0.000 0.262
Th3 0.000 0.000 0.738
Mn1 0.000 0.000 0.500
Pt1 0.000 0.500 0.129
Pt2 0.000 0.500 0.387
Pt3 0.000 0.500 0.613
Pt4 0.000 0.500 0.871
Pt5 0.500 0.000 0.129
Pt6 0.500 0.000 0.387
Pt7 0.500 0.000 0.613
Pt8 0.500 0.000 0.871
Pt9 0.500 0.500 0.000
Pt10 0.500 0.500 0.257
Pt11 0.500 0.500 0.500
Pt12 0.500 0.500 0.743

---

Record 6
Below is crystalline Ba4LiN at its relaxed geometry, with properties calculated at the PBE level.

## Properties
- Raw formation energy: -0.102 eV per atom
- Total moment: 0.00 μB/cell
- Energy above the lowest structure with this stoichiometry: 53.9 meV per atom

Cell: 10.114 10.114 12.804 Å, 96.88 96.88 25.38°
Positions (direct):
Ba1 0.044 0.044 0.235
Ba2 0.101 0.101 0.594
Ba3 0.238 0.238 0.817
Ba4 0.401 0.401 0.091
Ba5 0.599 0.599 0.909
Ba6 0.762 0.762 0.183
Ba7 0.899 0.899 0.406
Ba8 0.956 0.956 0.765
Li1 0.239 0.239 0.419
Li2 0.761 0.761 0.581
N1 0.092 0.092 0.791
N2 0.908 0.908 0.209

---

Record 7
Below is crystalline CoSnI2N at its relaxed geometry, with properties calculated at the PBE level.

## Properties
- Raw formation energy: 0.371 eV per atom
- Total moment: 0.00 μB/cell
- Energy above the lowest structure with this stoichiometry: 0.0 meV per atom

Cell: 5.627 5.627 3.563 Å, 90.00 90.00 90.00°
Positions (direct):
Co1 0.000 0.000 0.000
Sn1 0.500 0.500 0.500
I1 0.000 0.500 0.000
I2 0.500 0.000 0.000
N1 0.000 0.000 0.500

---

Record 8
Below is crystalline HfReS2 at its relaxed geometry, with properties calculated at the PBE level.

## Properties
- Raw formation energy: -0.375 eV per atom
- Total moment: 0.00 μB/cell
- Energy above the lowest structure with this stoichiometry: 0.0 meV per atom

Cell: 7.754 7.754 7.754 Å, 145.47 145.47 49.63°
Positions (direct):
Hf1 0.000 0.000 0.000
Hf2 0.750 0.250 0.500
Re1 0.250 0.750 0.500
Re2 0.500 0.500 0.000
S1 0.156 0.625 0.031
S2 0.375 0.406 0.531
S3 0.594 0.125 0.969
S4 0.875 0.844 0.469

---

Record 9
Below is crystalline GaCoAu2 at its relaxed geometry, with properties calculated at the PBE level.

## Properties
- DFT formation energy: 0.036 eV per atom
- Total moment: 0.35 μB/cell

Cell: 3.972 3.972 3.906 Å, 90.00 90.00 90.00°
Positions (direct):
Ga1 0.000 0.000 0.000
Co1 0.500 0.500 0.000
Au1 0.000 0.500 0.500
Au2 0.500 0.000 0.500

---

Record 10
Below is crystalline Ac4PdRhSe2 at its relaxed geometry, with properties calculated at the PBE level.

## Properties
- Raw formation energy: -1.282 eV per atom
- Total moment: 0.00 μB/cell

Cell: 7.500 4.342 8.165 Å, 90.00 107.92 90.00°
Positions (direct):
Ac1 0.236 0.000 0.227
Ac2 0.251 0.500 0.771
Ac3 0.749 0.500 0.229
Ac4 0.764 0.000 0.773
Pd1 0.500 0.000 0.000
Rh1 0.000 0.500 0.000
Se1 0.000 0.000 0.500
Se2 0.500 0.500 0.500

---

Record 11
Below is crystalline NdYIr2 at its relaxed geometry, with properties calculated at the PBE level.

## Properties
- DFT formation energy: -0.648 eV per atom
- Total moment: 0.00 μB/cell
- Energy above the lowest structure with this stoichiometry: 24.4 meV per atom

Cell: 4.941 4.941 4.941 Å, 60.00 60.00 60.00°
Positions (direct):
Nd1 0.000 0.000 0.000
Y1 0.500 0.500 0.500
Ir1 0.250 0.250 0.250
Ir2 0.750 0.750 0.750

---

Record 12
Below is crystalline TmHf2Ru3 at its relaxed geometry, with properties calculated at the PBE level.

## Properties
- DFT formation energy: -0.729 eV per atom
- Total moment: 0.00 μB/cell

Cell: 3.270 3.270 9.887 Å, 90.00 90.00 90.00°
Positions (direct):
Tm1 0.000 0.000 0.000
Hf1 0.000 0.000 0.335
Hf2 0.000 0.000 0.665
Ru1 0.500 0.500 0.181
Ru2 0.500 0.500 0.500
Ru3 0.500 0.500 0.819

---

Record 13
Below is crystalline TlAs2H2 at its relaxed geometry, with properties calculated at the PBE level.

## Properties
- Total moment: 0.00 μB/cell
- Energy above the lowest structure with this stoichiometry: 93.2 meV per atom

Cell: 7.333 7.333 3.142 Å, 90.00 90.00 90.00°
Positions (direct):
Tl1 0.000 0.000 0.000
Tl2 0.500 0.500 0.000
As1 0.117 0.383 0.500
As2 0.383 0.883 0.500
As3 0.617 0.117 0.500
As4 0.883 0.617 0.500
H1 0.093 0.593 0.000
H2 0.407 0.093 0.000
H3 0.593 0.907 0.000
H4 0.907 0.407 0.000

---

Record 14
Below is crystalline K2ScPb2 at its relaxed geometry, with properties calculated at the PBE level.

## Properties
- DFT formation energy: 0.014 eV per atom
- Total moment: 0.00 μB/cell

Cell: 7.882 7.882 6.014 Å, 90.00 90.00 90.00°
Positions (direct):
K1 0.162 0.338 0.000
K2 0.338 0.838 0.000
K3 0.662 0.162 0.000
K4 0.838 0.662 0.000
Sc1 0.000 0.000 0.500
Sc2 0.500 0.500 0.500
Pb1 0.155 0.655 0.500
Pb2 0.345 0.155 0.500
Pb3 0.655 0.845 0.500
Pb4 0.845 0.345 0.500

---

Record 15
Below is crystalline DyPuCuRu at its relaxed geometry, with properties calculated at the PBE level.

## Properties
- DFT formation energy: -0.137 eV per atom
- Total moment: 5.41 μB/cell

Cell: 4.850 4.850 4.850 Å, 60.00 60.00 60.00°
Positions (direct):
Dy1 0.000 0.000 0.000
Pu1 0.500 0.500 0.500
Cu1 0.250 0.250 0.250
Ru1 0.750 0.750 0.750

---

Record 16
Below is crystalline KNdAg2Br6 at its relaxed geometry, with properties calculated at the PBE level.

## Properties
- Raw formation energy: -1.216 eV per atom
- Total moment: 0.00 μB/cell

Cell: 8.089 8.089 8.089 Å, 55.25 55.25 55.25°
Positions (direct):
K1 0.000 0.000 0.000
Nd1 0.516 0.516 0.516
Ag1 0.195 0.195 0.195
Ag2 0.706 0.706 0.706
Br1 0.106 0.446 0.787
Br2 0.347 0.930 0.547
Br3 0.446 0.787 0.106
Br4 0.547 0.347 0.930
Br5 0.787 0.106 0.446
Br6 0.930 0.547 0.347

---

Record 17
Below is crystalline Y2CdSe at its relaxed geometry, with properties calculated at the PBE level.

## Properties
- Raw formation energy: -0.754 eV per atom
- Total moment: 0.00 μB/cell
- Energy above the lowest structure with this stoichiometry: 283.3 meV per atom

Cell: 5.313 5.313 3.534 Å, 90.24 90.24 98.33°
Positions (direct):
Y1 0.000 0.500 0.000
Y2 0.500 0.000 0.000
Cd1 0.000 0.000 0.500
Se1 0.500 0.500 0.500

---

Record 18
Below is crystalline TaTl3Co at its relaxed geometry, with properties calculated at the PBE level.

## Properties
- DFT formation energy: 1.172 eV per atom
- Total moment: 0.00 μB/cell
- Energy above the lowest structure with this stoichiometry: 0.0 meV per atom

Cell: 4.930 4.930 4.930 Å, 90.00 90.00 90.00°
Positions (direct):
Ta1 0.000 0.000 0.000
Tl1 0.000 0.500 0.500
Tl2 0.500 0.000 0.500
Tl3 0.500 0.500 0.000
Co1 0.500 0.500 0.500

---

Record 19
Below is crystalline NbCoSe3 at its relaxed geometry, with properties calculated at the PBE level.

## Properties
- Raw formation energy: 0.452 eV per atom
- Total moment: 0.00 μB/cell
- Energy above the lowest structure with this stoichiometry: 874.5 meV per atom

Cell: 4.579 4.579 4.579 Å, 90.00 90.00 90.00°
Positions (direct):
Nb1 0.000 0.000 0.000
Co1 0.500 0.500 0.500
Se1 0.000 0.500 0.500
Se2 0.500 0.000 0.500
Se3 0.500 0.500 0.000

---

Record 20
Below is crystalline ZrInRe at its relaxed geometry, with properties calculated at the PBE level.

## Properties
- DFT formation energy: 0.036 eV per atom
- Total moment: 0.00 μB/cell
- Energy above the lowest structure with this stoichiometry: 180.0 meV per atom

Cell: 5.491 5.491 5.669 Å, 93.48 93.48 46.56°
Positions (direct):
Zr1 0.000 0.000 0.000
Zr2 0.591 0.591 0.464
In1 0.325 0.325 0.738
In2 0.692 0.692 0.981
Re1 0.309 0.309 0.236
Re2 0.879 0.879 0.423

---

Number 1: total DFT energy (no corrections) -29.043 eV/f.u.. Number 2: total DFT energy (no corrections) -44.441 eV/f.u.. Number 3: total DFT energy (no corrections) -26.777 eV/f.u.. Number 4: total DFT energy (no corrections) -36.929 eV/f.u.. Number 5: total DFT energy (no corrections) -118.483 eV/f.u.. Number 6: total DFT energy (no corrections) -18.540 eV/f.u.. Number 7: total DFT energy (no corrections) -20.680 eV/f.u.. Number 8: total DFT energy (no corrections) -32.157 eV/f.u.. Number 9: total DFT energy (no corrections) -16.543 eV/f.u.. Number 10: total DFT energy (no corrections) -46.200 eV/f.u.. Number 11: total DFT energy (no corrections) -31.545 eV/f.u.. Number 12: total DFT energy (no corrections) -56.582 eV/f.u.. Number 13: total DFT energy (no corrections) -15.350 eV/f.u.. Number 14: total DFT energy (no corrections) -15.871 eV/f.u.. Number 15: total DFT energy (no corrections) -32.854 eV/f.u.. Number 16: total DFT energy (no corrections) -33.767 eV/f.u.. Number 17: total DFT energy (no corrections) -20.345 eV/f.u.. Number 18: total DFT energy (no corrections) -20.197 eV/f.u.. Number 19: total DFT energy (no corrections) -25.371 eV/f.u.. Number 20: total DFT energy (no corrections) -23.627 eV/f.u..